TbDy2Tl3 | GGA-PBE | optimized geometry

Summary:
Total magnetization = 0.00 μB per formula unit
Energy of formation = -0.349 eV per atom
Calculated total energy = -23.0 eV for the cell shown

abc: 3.6666 3.6666 12.2645
angles: 90.00 90.00 90.00
Closest atoms and distances in Å follow each position.
Fractional coordinates of all 6 atoms:
Dy 0.5000 0.5000 0.1663  8 Tl 3.30, 4 Dy 3.67
Tb 0.5000 0.5000 0.5000  8 Tl 3.31, 4 Tb 3.67
Dy 0.5000 0.5000 0.8337  8 Tl 3.30, 4 Dy 3.67
Tl 0.0000 0.0000 0.6676  4 Dy 3.30, 4 Tb 3.31, 4 Tl 3.67
Tl 0.0000 0.0000 0.3324  4 Dy 3.30, 4 Tb 3.31, 4 Tl 3.67
Tl 0.0000 0.0000 0.0000  8 Dy 3.30, 4 Tl 3.67